Version i
Entry from Alexandria via LeMat-Bulk: crystalline CoCu2Bi2 at its relaxed geometry (PBE).

abc: 6.870 6.870 4.039
angles: 90.00 90.00 90.00
Atoms (fractional coordinates):
1 Co 0.000 0.000 0.000
2 Co 0.500 0.500 0.000
3 Cu 0.130 0.370 0.000
4 Cu 0.370 0.870 0.000
5 Cu 0.630 0.130 0.000
6 Cu 0.870 0.630 0.000
7 Bi 0.179 0.679 0.500
8 Bi 0.321 0.179 0.500
9 Bi 0.679 0.821 0.500
10 Bi 0.821 0.321 0.500

Density of states at the Fermi level ... 11.558 states/eV per cell
Space-group type ... No. 127
Magnetic moment ... 1.21 μB per formula unit

---

Version ii
Entry from Alexandria via LeMat-Bulk: crystalline CoCu2Bi2 at its relaxed geometry (PBE).

abc: 7.200 7.200 3.910
angles: 90.00 90.00 90.00
Atoms (fractional coordinates):
1 Co 0.000 0.000 0.000
2 Co 0.500 0.500 0.000
3 Cu 0.123 0.377 0.500
4 Cu 0.377 0.877 0.500
5 Cu 0.623 0.123 0.500
6 Cu 0.877 0.623 0.500
7 Bi 0.175 0.675 0.000
8 Bi 0.325 0.175 0.000
9 Bi 0.675 0.825 0.000
10 Bi 0.825 0.325 0.000

Density of states at the Fermi level ... 9.527 states/eV per cell
Space-group type ... No. 127
Magnetic moment ... 1.33 μB per formula unit

---

Of them, version i has the highest stability.

---

Version i
Entry from Alexandria via LeMat-Bulk: crystalline Dy5CoBi2 at its relaxed geometry (PBE).

abc: 12.428 8.850 8.031
angles: 90.00 90.00 90.00
Atoms (fractional coordinates):
1 Dy 0.002 0.250 0.050
2 Dy 0.063 0.538 0.324
3 Dy 0.063 0.962 0.324
4 Dy 0.189 0.250 0.615
5 Dy 0.199 0.750 0.652
6 Dy 0.301 0.250 0.152
7 Dy 0.311 0.750 0.115
8 Dy 0.437 0.038 0.824
9 Dy 0.437 0.462 0.824
10 Dy 0.498 0.750 0.550
11 Dy 0.502 0.250 0.450
12 Dy 0.563 0.538 0.176
13 Dy 0.563 0.962 0.176
14 Dy 0.689 0.250 0.885
15 Dy 0.699 0.750 0.848
16 Dy 0.801 0.250 0.348
17 Dy 0.811 0.750 0.385
18 Dy 0.937 0.038 0.676
19 Dy 0.937 0.462 0.676
20 Dy 0.998 0.750 0.950
21 Co 0.009 0.250 0.432
22 Co 0.491 0.750 0.932
23 Co 0.509 0.250 0.068
24 Co 0.991 0.750 0.568
25 Bi 0.174 0.009 0.928
26 Bi 0.174 0.491 0.928
27 Bi 0.326 0.509 0.428
28 Bi 0.326 0.991 0.428
29 Bi 0.674 0.009 0.572
30 Bi 0.674 0.491 0.572
31 Bi 0.826 0.509 0.072
32 Bi 0.826 0.991 0.072

Density of states at the Fermi level ... 21.245 states/eV per cell
Space-group type ... No. 62
Magnetic moment ... 0.00 μB per formula unit

---

Version ii
Entry from Alexandria via LeMat-Bulk: crystalline Dy5CoBi2 at its relaxed geometry (PBE).

abc: 8.403 8.403 14.182
angles: 90.00 90.00 142.04
Atoms (fractional coordinates):
1 Dy 0.053 0.947 0.624
2 Dy 0.053 0.947 0.876
3 Dy 0.273 0.727 0.610
4 Dy 0.273 0.727 0.890
5 Dy 0.309 0.691 0.250
6 Dy 0.691 0.309 0.750
7 Dy 0.727 0.273 0.110
8 Dy 0.727 0.273 0.390
9 Dy 0.947 0.053 0.124
10 Dy 0.947 0.053 0.376
11 Co 0.168 0.832 0.750
12 Co 0.832 0.168 0.250
13 Bi 0.142 0.858 0.074
14 Bi 0.142 0.858 0.426
15 Bi 0.858 0.142 0.574
16 Bi 0.858 0.142 0.926

Density of states at the Fermi level ... 9.586 states/eV per cell
Space-group type ... No. 63
Magnetic moment ... 0.00 μB per formula unit

---

Of them, version i has the highest stability.

---

Version i
Entry from Alexandria via LeMat-Bulk: crystalline Dy3CoBi at its relaxed geometry (PBE).

abc: 5.165 5.165 5.165
angles: 90.00 90.00 90.00
Atoms (fractional coordinates):
1 Dy 0.000 0.000 0.500
2 Dy 0.000 0.500 0.000
3 Dy 0.500 0.000 0.000
4 Co 0.000 0.000 0.000
5 Bi 0.500 0.500 0.500

Density of states at the Fermi level ... 2.917 states/eV per cell
Space-group type ... No. 221
Magnetic moment ... 0.00 μB per formula unit

---

Version ii
Entry from Alexandria via LeMat-Bulk: crystalline Dy3CoBi at its relaxed geometry (PBE).

abc: 8.008 4.308 8.422
angles: 90.00 114.95 90.00
Atoms (fractional coordinates):
1 Dy 0.038 0.250 0.247
2 Dy 0.321 0.750 0.590
3 Dy 0.328 0.250 0.912
4 Dy 0.672 0.750 0.088
5 Dy 0.679 0.250 0.410
6 Dy 0.962 0.750 0.753
7 Co 0.066 0.250 0.584
8 Co 0.934 0.750 0.416
9 Bi 0.323 0.750 0.200
10 Bi 0.677 0.250 0.800

Density of states at the Fermi level ... 8.338 states/eV per cell
Space-group type ... No. 11
Magnetic moment ... 0.00 μB per formula unit

---

Of them, version ii has the highest stability.

---

Version i
Entry from Alexandria via LeMat-Bulk: crystalline Er2CoBi at its relaxed geometry (PBE).

abc: 6.189 4.024 8.280
angles: 90.00 110.16 90.00
Atoms (fractional coordinates):
1 Er 0.156 0.250 0.384
2 Er 0.236 0.750 0.042
3 Er 0.764 0.250 0.958
4 Er 0.844 0.750 0.616
5 Co 0.119 0.250 0.794
6 Co 0.881 0.750 0.206
7 Bi 0.381 0.750 0.707
8 Bi 0.619 0.250 0.293

Density of states at the Fermi level ... 3.613 states/eV per cell
Space-group type ... No. 11
Magnetic moment ... 0.00 μB per formula unit

---

Version ii
Entry from Alexandria via LeMat-Bulk: crystalline Er2CoBi at its relaxed geometry (PBE).

abc: 9.673 9.673 9.673
angles: 22.12 22.12 22.12
Atoms (fractional coordinates):
1 Er 0.114 0.114 0.114
2 Er 0.886 0.886 0.886
3 Co 0.500 0.500 0.500
4 Bi 0.000 0.000 0.000

Density of states at the Fermi level ... 1.308 states/eV per cell
Space-group type ... No. 166
Magnetic moment ... 0.00 μB per formula unit

---

Of them, version i has the highest stability.